No. 1
The following is a PBE-GGA calculation of a relaxed structure of SrAc2Pa3N8, from Alexandria via LeMat-Bulk.

Unit cell a=7.322 b=7.322 c=7.322 alpha=58.92 beta=58.92 gamma=58.92
Positions (direct):
Sr  0.000  0.000  0.000
Ac  0.239  0.239  0.239
Ac  0.619  0.619  0.619
Pa  0.116  0.620  0.620
Pa  0.620  0.116  0.620
Pa  0.620  0.620  0.116
N  0.371  0.371  0.813
N  0.371  0.813  0.371
N  0.389  0.389  0.389
N  0.434  0.865  0.865
N  0.813  0.371  0.371
N  0.847  0.847  0.847
N  0.865  0.434  0.865
N  0.865  0.865  0.434

Calculated values
N(E_F)   0.938 states/eV/atom
Crystal system   trigonal
Energy relative to the elements, uncorrected   -1.36 eV/atom
Space-group type   R3m, No. 160



No. 2
The following is a PBE-GGA calculation of a relaxed structure of Cs2InPb, from Alexandria via LeMat-Bulk.

Unit cell a=10.582 b=10.582 c=10.582 alpha=94.24 beta=94.24 gamma=148.43
Positions (direct):
Cs  0.375  0.052  0.177
Cs  0.802  0.625  0.677
Cs  0.875  0.198  0.823
Cs  0.948  0.125  0.323
In  0.000  0.000  0.000
In  0.750  0.250  0.500
Pb  0.250  0.750  0.500
Pb  0.500  0.500  0.000

Calculated values
N(E_F)   0.365 states/eV/atom
ΔH_f (0 K)   0.126 eV/f.u.
Energy above the lowest structure with this stoichiometry   0.1533 eV/atom
Crystal system   tetragonal
Space-group type   I-42d, No. 122



No. 3
The following is a PBE-GGA calculation of a relaxed structure of BaMgAl2Ir, from Alexandria via LeMat-Bulk.

Unit cell a=4.854 b=4.854 c=5.110 alpha=90.00 beta=90.00 gamma=90.00
Positions (direct):
Ba  0.000  0.000  0.000
Mg  0.500  0.500  0.000
Al  0.000  0.500  0.500
Al  0.500  0.000  0.500
Ir  0.500  0.500  0.500

Calculated values
N(E_F)   0.547 states/eV/atom
ΔH_f (0 K)   -2.378 eV/f.u.
Crystal system   tetragonal
Space-group type   P4/mmm, No. 123



No. 4
The following is a PBE-GGA calculation of a relaxed structure of NaSiRhSe2, from Alexandria via LeMat-Bulk.

Unit cell a=4.941 b=4.941 c=4.729 alpha=90.00 beta=90.00 gamma=90.00
Positions (direct):
Na  0.000  0.000  0.000
Si  0.000  0.000  0.500
Rh  0.500  0.500  0.500
Se  0.000  0.500  0.000
Se  0.500  0.000  0.000

Calculated values
N(E_F)   0.621 states/eV/atom
Crystal system   tetragonal
Energy relative to the elements, uncorrected   1.25 eV/atom
Space-group type   P4/mmm, No. 123



No. 5
The following is a PBE-GGA calculation of a relaxed structure of CrTeW2, from Alexandria via LeMat-Bulk.

Unit cell a=2.924 b=2.924 c=8.869 alpha=90.00 beta=90.00 gamma=112.01
Positions (direct):
Cr  0.000  0.000  0.000
Te  0.500  0.500  0.252
W  0.000  0.000  0.544
W  0.500  0.500  0.777

Calculated values
N(E_F)   1.169 states/eV/atom
Crystal system   orthorhombic
Energy relative to the elements, uncorrected   0.71 eV/atom
Space-group type   Cmm2, No. 35



No. 6
The following is a PBE-GGA calculation of a relaxed structure of AgOsPb, from Alexandria via LeMat-Bulk.

Unit cell a=5.278 b=5.278 c=5.278 alpha=147.91 beta=132.11 gamma=58.82
Positions (direct):
Ag  0.000  0.000  0.000
Os  0.651  0.651  0.000
Pb  0.319  0.319  0.000

Calculated values
N(E_F)   0.988 states/eV/atom
ΔH_f (0 K)   2.821 eV/f.u.
Energy above the lowest structure with this stoichiometry   0.0273 eV/atom
Crystal system   orthorhombic
Space-group type   Imm2, No. 44